i | NbCuBOs: relaxed, PBE.

a b c (Å): 4.2186 4.2186 4.2186
angles (deg): 60.00 60.00 60.00
Closest atoms and distances in Å follow each position.
Sites, in units of the cell vectors:
Nb 0.0000 0.0000 0.0000  4 Cu 2.58, 4 Os 2.58
Cu 0.7500 0.7500 0.7500  4 Nb 2.58, 4 B 2.58
B 0.5000 0.5000 0.5000  4 Cu 2.58, 4 Os 2.58
Os 0.2500 0.2500 0.2500  4 Nb 2.58, 4 B 2.58

ii | NbCuBOs: relaxed, PBE.

a b c (Å): 4.2306 4.2306 4.2306
angles (deg): 60.00 60.00 60.00
Closest atoms and distances in Å follow each position.
Sites, in units of the cell vectors:
Nb 0.0000 0.0000 0.0000  4 B 2.59, 4 Os 2.59
Cu 0.5000 0.5000 0.5000  4 Os 2.59, 4 B 2.59
B 0.2500 0.2500 0.2500  4 Cu 2.59, 4 Nb 2.59
Os 0.7500 0.7500 0.7500  4 Nb 2.59, 4 Cu 2.59

Short version: i is the most stable of them.

i | CuNiB4: relaxed, PBE.

a b c (Å): 2.9727 2.9727 6.5127
angles (deg): 90.00 90.00 120.00
Closest atoms and distances in Å follow each position.
Sites, in units of the cell vectors:
Cu 0.0000 0.0000 0.0000  12 B 2.43
Ni 0.0000 0.0000 0.5000  12 B 2.30
B 0.3333 0.6667 0.2647  3 B 1.72
B 0.3333 0.6667 0.7353  3 B 1.72
B 0.6667 0.3333 0.2647  3 B 1.72
B 0.6667 0.3333 0.7353  3 B 1.72

ii | CuNiB4: relaxed, PBE.

a b c (Å): 4.4017 4.4017 4.4017
angles (deg): 140.38 108.27 85.19
Closest atoms and distances in Å follow each position.
Sites, in units of the cell vectors:
Cu 0.0000 0.0000 0.0000  12 B 2.35-2.37
Ni 0.5000 0.5000 0.0000  12 B 2.35-2.38
B 0.0863 0.7524 0.3340  3 B 1.71-1.73
B 0.4184 0.7524 0.6660  3 B 1.71-1.73
B 0.5816 0.2476 0.3340  3 B 1.71-1.73
B 0.9137 0.2476 0.6660  3 B 1.71-1.73

Short version: i is the most stable of them.

i | CuReNiB: relaxed, PBE.

a b c (Å): 3.9577 3.9577 3.9577
angles (deg): 60.00 60.00 60.00
Closest atoms and distances in Å follow each position.
Sites, in units of the cell vectors:
Cu 0.0000 0.0000 0.0000  4 Ni 2.42, 4 B 2.42
Re 0.5000 0.5000 0.5000  4 Ni 2.42, 4 B 2.42
Ni 0.2500 0.2500 0.2500  4 Re 2.42, 4 Cu 2.42
B 0.7500 0.7500 0.7500  4 Re 2.42, 4 Cu 2.42

ii | CuReNiB: relaxed, PBE.

a b c (Å): 4.0011 4.0011 4.0011
angles (deg): 60.00 60.00 60.00
Closest atoms and distances in Å follow each position.
Sites, in units of the cell vectors:
Cu 0.0000 0.0000 0.0000  4 B 2.45, 4 Re 2.45
Re 0.2500 0.2500 0.2500  4 Ni 2.45, 4 Cu 2.45
Ni 0.5000 0.5000 0.5000  4 Re 2.45, 4 B 2.45
B 0.7500 0.7500 0.7500  4 Cu 2.45, 4 Ni 2.45

Short version: i is the most stable of them.